# SmCdMo2O8 (GGA+U, relaxed)
# space-group type: I-4
data_SmCdMo2O8
_chemical_formula_sum 'Sm1 Cd1 Mo2 O8'
_symmetry_space_group_name_H-M 'P 1'
_symmetry_Int_Tables_number 1
_cell_length_a 5.287
_cell_length_b 5.287
_cell_length_c 6.823
_cell_angle_alpha 112.79
_cell_angle_beta 112.79
_cell_angle_gamma 90.00
loop_
_symmetry_equiv_pos_as_xyz
'x,y,z'
loop_
_atom_site_label
_atom_site_type_symbol
_atom_site_fract_x
_atom_site_fract_y
_atom_site_fract_z
O1 O 0.095 0.001 0.666
O2 O 0.753 0.841 0.171
O3 O 0.999 0.428 0.334
O4 O 0.159 0.582 0.829
O5 O 0.334 0.905 0.334
O6 O 0.671 0.247 0.829
O7 O 0.572 0.666 0.666
O8 O 0.418 0.329 0.171
Mo1 Mo 0.250 0.750 0.500
Mo2 Mo 0.500 0.500 0.000
Cd1 Cd 0.000 0.000 0.000
Sm1 Sm 0.750 0.250 0.500


# SmCd2MoO6 (GGA+U, relaxed)
# space-group type: P1
data_SmCd2MoO6
_chemical_formula_sum 'Sm1 Cd2 Mo1 O6'
_symmetry_space_group_name_H-M 'P 1'
_symmetry_Int_Tables_number 1
_cell_length_a 5.675
_cell_length_b 5.707
_cell_length_c 5.941
_cell_angle_alpha 61.35
_cell_angle_beta 62.47
_cell_angle_gamma 60.55
loop_
_symmetry_equiv_pos_as_xyz
'x,y,z'
loop_
_atom_site_label
_atom_site_type_symbol
_atom_site_fract_x
_atom_site_fract_y
_atom_site_fract_z
Cd1 Cd 0.539 0.543 0.391
Cd2 Cd 0.043 0.027 0.891
O1 O 0.548 0.212 0.260
O2 O 0.428 0.672 0.779
O3 O 0.671 0.113 0.786
O4 O 0.200 0.970 0.258
O5 O 0.122 0.418 0.789
O6 O 0.969 0.577 0.245
Mo1 Mo 0.321 0.320 0.049
Sm1 Sm 0.820 0.809 0.566


# Cd2SnMoO6 (GGA+U, relaxed)
# space-group type: P4mm
data_Cd2SnMoO6
_chemical_formula_sum 'Cd2 Sn1 Mo1 O6'
_symmetry_space_group_name_H-M 'P 1'
_symmetry_Int_Tables_number 1
_cell_length_a 5.101
_cell_length_b 5.419
_cell_length_c 5.419
_cell_angle_alpha 90.00
_cell_angle_beta 90.00
_cell_angle_gamma 90.00
loop_
_symmetry_equiv_pos_as_xyz
'x,y,z'
loop_
_atom_site_label
_atom_site_type_symbol
_atom_site_fract_x
_atom_site_fract_y
_atom_site_fract_z
O1 O 0.720 0.256 0.256
O2 O 0.720 0.256 0.744
O3 O 0.231 0.500 0.500
O4 O 0.720 0.744 0.256
O5 O 0.182 0.000 0.000
O6 O 0.720 0.744 0.744
Mo1 Mo 0.579 0.500 0.500
Sn1 Sn 0.571 0.000 0.000
Cd1 Cd 0.002 0.500 0.000
Cd2 Cd 0.002 0.000 0.500


# CdSnMoO6 (GGA+U, relaxed)
# space-group type: P4_2nm
data_CdSnMoO6
_chemical_formula_sum 'Cd2 Sn2 Mo2 O12'
_symmetry_space_group_name_H-M 'P 1'
_symmetry_Int_Tables_number 1
_cell_length_a 4.916
_cell_length_b 4.916
_cell_length_c 9.653
_cell_angle_alpha 90.00
_cell_angle_beta 90.00
_cell_angle_gamma 90.00
loop_
_symmetry_equiv_pos_as_xyz
'x,y,z'
loop_
_atom_site_label
_atom_site_type_symbol
_atom_site_fract_x
_atom_site_fract_y
_atom_site_fract_z
O1 O 0.203 0.797 0.805
O2 O 0.324 0.324 0.009
O3 O 0.824 0.176 0.509
O4 O 0.281 0.281 0.683
O5 O 0.219 0.781 0.183
O6 O 0.176 0.824 0.509
O7 O 0.676 0.676 0.009
O8 O 0.781 0.219 0.183
O9 O 0.703 0.703 0.305
O10 O 0.719 0.719 0.683
O11 O 0.797 0.203 0.805
O12 O 0.297 0.297 0.305
Sn1 Sn 0.500 0.500 0.833
Sn2 Sn 0.000 0.000 0.333
Cd1 Cd 0.000 0.000 0.003
Cd2 Cd 0.500 0.500 0.503
Mo1 Mo 0.000 0.000 0.671
Mo2 Mo 0.500 0.500 0.171


# SrCdMo2O8 (GGA+U, relaxed)
# space-group type: I-4m2
data_SrCdMo2O8
_chemical_formula_sum 'Sr1 Cd1 Mo2 O8'
_symmetry_space_group_name_H-M 'P 1'
_symmetry_Int_Tables_number 1
_cell_length_a 6.338
_cell_length_b 6.338
_cell_length_c 6.338
_cell_angle_alpha 106.93
_cell_angle_beta 106.93
_cell_angle_gamma 114.67
loop_
_symmetry_equiv_pos_as_xyz
'x,y,z'
loop_
_atom_site_label
_atom_site_type_symbol
_atom_site_fract_x
_atom_site_fract_y
_atom_site_fract_z
Cd1 Cd 0.000 0.000 0.000
O1 O 0.476 0.663 0.814
O2 O 0.337 0.151 0.814
O3 O 0.400 0.091 0.310
O4 O 0.909 0.600 0.690
O5 O 0.337 0.524 0.186
O6 O 0.781 0.091 0.690
O7 O 0.909 0.219 0.310
O8 O 0.849 0.663 0.186
Sr1 Sr 0.250 0.750 0.500
Mo1 Mo 0.750 0.250 0.500
Mo2 Mo 0.500 0.500 0.000


# TbCdMo2O8 (GGA+U, relaxed)
# space-group type: I-4
data_TbCdMo2O8
_chemical_formula_sum 'Tb1 Cd1 Mo2 O8'
_symmetry_space_group_name_H-M 'P 1'
_symmetry_Int_Tables_number 1
_cell_length_a 5.248
_cell_length_b 5.248
_cell_length_c 6.763
_cell_angle_alpha 112.83
_cell_angle_beta 112.83
_cell_angle_gamma 90.00
loop_
_symmetry_equiv_pos_as_xyz
'x,y,z'
loop_
_atom_site_label
_atom_site_type_symbol
_atom_site_fract_x
_atom_site_fract_y
_atom_site_fract_z
O1 O 0.094 0.006 0.666
O2 O 0.671 0.246 0.826
O3 O 0.340 0.906 0.334
O4 O 0.994 0.428 0.334
O5 O 0.572 0.660 0.666
O6 O 0.155 0.580 0.826
O7 O 0.420 0.329 0.174
O8 O 0.754 0.845 0.174
Tb1 Tb 0.750 0.250 0.500
Mo1 Mo 0.500 0.500 0.000
Mo2 Mo 0.250 0.750 0.500
Cd1 Cd 0.000 0.000 0.000


no.,calculated volume (Å³/cell),M_tot (μB per cell),E_tot (eV/cell)
1,160,1.00,-82.90
2,140,1.00,-61.78
3,150,1.18,-54.55
4,233,0.00,-109.08
5,195,0.00,-78.32
6,156,1.00,-82.94